# Y2PuO8 PBE relaxed
# raw formation energy = -2.29 eV/atom
# total DFT energy (no corrections) = -8.3755 eV per atom
# size of the total moment = 2.00 μB per cell
data_Y2PuO8
_cell_length_a 6.0951
_cell_length_b 6.0951
_cell_length_c 4.6343
_cell_angle_alpha 105.85
_cell_angle_beta 105.85
_cell_angle_gamma 72.52
_symmetry_space_group_name_H-M 'P 1'
_symmetry_Int_Tables_number 1
loop_
_symmetry_equiv_pos_as_xyz
'x,y,z'
loop_
_atom_site_label
_atom_site_fract_x
_atom_site_fract_y
_atom_site_fract_z
Y1 0.1668 0.1668 0.3733
Y2 0.8332 0.8332 0.6267
Pu1 0.5000 0.5000 0.0000
O1 0.0866 0.0866 0.8080
O2 0.1735 0.5529 0.7323
O3 0.3797 0.3797 0.2339
O4 0.4471 0.8265 0.2677
O5 0.5529 0.1735 0.7323
O6 0.6203 0.6203 0.7661
O7 0.8265 0.4471 0.2677
O8 0.9134 0.9134 0.1920



# YPuO PBE relaxed
# raw formation energy = -1.56 eV/atom
# total DFT energy (no corrections) = -10.1430 eV per atom
# size of the total moment = 5.07 μB per cell
# excess energy over the best structure of this formula in the dataset = 0.004 eV per atom
data_YPuO
_cell_length_a 3.4661
_cell_length_b 3.4661
_cell_length_c 6.0441
_cell_angle_alpha 90.00
_cell_angle_beta 90.00
_cell_angle_gamma 120.00
_symmetry_space_group_name_H-M 'P 1'
_symmetry_Int_Tables_number 1
loop_
_symmetry_equiv_pos_as_xyz
'x,y,z'
loop_
_atom_site_label
_atom_site_fract_x
_atom_site_fract_y
_atom_site_fract_z
Y1 0.0000 0.0000 0.0000
Pu1 0.3333 0.6667 0.4684
O1 0.6667 0.3333 0.2270



# YPuO PBE relaxed
# raw formation energy = -1.56 eV/atom
# total DFT energy (no corrections) = -10.1471 eV per atom
# size of the total moment = 0.00 μB per cell
# excess energy over the best structure of this formula in the dataset = 0.000 eV per atom
data_YPuO
_cell_length_a 5.7388
_cell_length_b 3.2357
_cell_length_c 6.2050
_cell_angle_alpha 90.00
_cell_angle_beta 103.22
_cell_angle_gamma 90.00
_symmetry_space_group_name_H-M 'P 1'
_symmetry_Int_Tables_number 1
loop_
_symmetry_equiv_pos_as_xyz
'x,y,z'
loop_
_atom_site_label
_atom_site_fract_x
_atom_site_fract_y
_atom_site_fract_z
Y1 0.2146 0.2500 0.3806
Y2 0.7854 0.7500 0.6194
Pu1 0.3738 0.7500 0.9058
Pu2 0.6262 0.2500 0.0942
O1 0.0895 0.2500 0.7235
O2 0.9105 0.7500 0.2765



# YPu2O6 PBE relaxed
# raw formation energy = -3.16 eV/atom
# total DFT energy (no corrections) = -10.3638 eV per atom
# size of the total moment = 7.00 μB per cell
data_YPu2O6
_cell_length_a 3.8262
_cell_length_b 3.8262
_cell_length_c 9.1373
_cell_angle_alpha 90.00
_cell_angle_beta 90.00
_cell_angle_gamma 120.00
_symmetry_space_group_name_H-M 'P 1'
_symmetry_Int_Tables_number 1
loop_
_symmetry_equiv_pos_as_xyz
'x,y,z'
loop_
_atom_site_label
_atom_site_fract_x
_atom_site_fract_y
_atom_site_fract_z
Y1 0.0000 0.0000 0.0000
Pu1 0.3333 0.6667 0.6669
Pu2 0.6667 0.3333 0.3331
O1 0.0000 0.0000 0.2645
O2 0.0000 0.0000 0.7355
O3 0.3333 0.6667 0.4176
O4 0.3333 0.6667 0.9037
O5 0.6667 0.3333 0.0963
O6 0.6667 0.3333 0.5824



# Y3PuO7 PBE relaxed
# raw formation energy = -3.32 eV/atom
# total DFT energy (no corrections) = -9.5388 eV per atom
# size of the total moment = 6.00 μB per cell
data_Y3PuO7
_cell_length_a 6.5809
_cell_length_b 6.5809
_cell_length_c 7.6998
_cell_angle_alpha 90.00
_cell_angle_beta 90.00
_cell_angle_gamma 109.83
_symmetry_space_group_name_H-M 'P 1'
_symmetry_Int_Tables_number 1
loop_
_symmetry_equiv_pos_as_xyz
'x,y,z'
loop_
_atom_site_label
_atom_site_fract_x
_atom_site_fract_y
_atom_site_fract_z
Y1 0.0000 0.0000 0.0000
Y2 0.0000 0.0000 0.5000
Y3 0.0328 0.5034 0.7500
Y4 0.4966 0.9672 0.7500
Y5 0.5034 0.0328 0.2500
Y6 0.9672 0.4966 0.2500
Pu1 0.5000 0.5000 0.0000
Pu2 0.5000 0.5000 0.5000
O1 0.1328 0.8672 0.2500
O2 0.1341 0.8659 0.7500
O3 0.1646 0.4153 0.0299
O4 0.1646 0.4153 0.4701
O5 0.4077 0.5923 0.7500
O6 0.4153 0.1646 0.5299
O7 0.4153 0.1646 0.9701
O8 0.5847 0.8354 0.0299
O9 0.5847 0.8354 0.4701
O10 0.5923 0.4077 0.2500
O11 0.8354 0.5847 0.5299
O12 0.8354 0.5847 0.9701
O13 0.8659 0.1341 0.2500
O14 0.8672 0.1328 0.7500



# Y4PuO10 PBE relaxed
# raw formation energy = -2.99 eV/atom
# total DFT energy (no corrections) = -8.9765 eV per atom
# size of the total moment = 0.10 μB per cell
data_Y4PuO10
_cell_length_a 6.5438
_cell_length_b 6.5438
_cell_length_c 6.5438
_cell_angle_alpha 99.73
_cell_angle_beta 99.73
_cell_angle_gamma 131.44
_symmetry_space_group_name_H-M 'P 1'
_symmetry_Int_Tables_number 1
loop_
_symmetry_equiv_pos_as_xyz
'x,y,z'
loop_
_atom_site_label
_atom_site_fract_x
_atom_site_fract_y
_atom_site_fract_z
Y1 0.0962 0.6944 0.7906
Y2 0.3056 0.0962 0.4017
Y3 0.6944 0.9038 0.5983
Y4 0.9038 0.3056 0.2094
Pu1 0.5000 0.5000 0.0000
O1 0.0827 0.3655 0.9135
O2 0.1692 0.0827 0.7171
O3 0.2500 0.7500 0.5000
O4 0.3655 0.4520 0.2829
O5 0.4520 0.1692 0.0865
O6 0.5480 0.8308 0.9135
O7 0.6345 0.5480 0.7171
O8 0.7500 0.2500 0.5000
O9 0.8308 0.9173 0.2829
O10 0.9173 0.6345 0.0865



# YPu2O8 PBE relaxed
# raw formation energy = -2.56 eV/atom
# total DFT energy (no corrections) = -9.3591 eV per atom
# size of the total moment = 3.00 μB per cell
data_YPu2O8
_cell_length_a 6.1685
_cell_length_b 6.1685
_cell_length_c 4.6367
_cell_angle_alpha 93.41
_cell_angle_beta 93.41
_cell_angle_gamma 70.61
_symmetry_space_group_name_H-M 'P 1'
_symmetry_Int_Tables_number 1
loop_
_symmetry_equiv_pos_as_xyz
'x,y,z'
loop_
_atom_site_label
_atom_site_fract_x
_atom_site_fract_y
_atom_site_fract_z
Y1 0.0000 0.0000 0.0000
Pu1 0.3699 0.3699 0.7394
Pu2 0.6301 0.6301 0.2606
O1 0.1128 0.6421 0.7536
O2 0.1773 0.1773 0.7411
O3 0.3579 0.8872 0.2464
O4 0.4268 0.4268 0.2386
O5 0.5732 0.5732 0.7614
O6 0.6421 0.1128 0.7536
O7 0.8227 0.8227 0.2589
O8 0.8872 0.3579 0.2464



# YPuZnO6 PBE relaxed
# raw formation energy = -2.41 eV/atom
# total DFT energy (no corrections) = -8.1722 eV per atom
# size of the total moment = 2.00 μB per cell
data_YPuZnO6
_cell_length_a 5.3321
_cell_length_b 5.3321
_cell_length_c 9.9931
_cell_angle_alpha 90.00
_cell_angle_beta 90.00
_cell_angle_gamma 120.00
_symmetry_space_group_name_H-M 'P 1'
_symmetry_Int_Tables_number 1
loop_
_symmetry_equiv_pos_as_xyz
'x,y,z'
loop_
_atom_site_label
_atom_site_fract_x
_atom_site_fract_y
_atom_site_fract_z
Y1 0.0000 0.0000 0.0000
Y2 0.0000 0.0000 0.5000
Pu1 0.3333 0.6667 0.2500
Pu2 0.6667 0.3333 0.7500
Zn1 0.3333 0.6667 0.7500
Zn2 0.6667 0.3333 0.2500
O1 0.0165 0.3565 0.1364
O2 0.0165 0.6601 0.3636
O3 0.3399 0.3565 0.3636
O4 0.3399 0.9835 0.1364
O5 0.3565 0.0165 0.6364
O6 0.3565 0.3399 0.8636
O7 0.6435 0.6601 0.1364
O8 0.6435 0.9835 0.3636
O9 0.6601 0.0165 0.8636
O10 0.6601 0.6435 0.6364
O11 0.9835 0.3399 0.6364
O12 0.9835 0.6435 0.8636



# YbPuO3 PBE relaxed
# raw formation energy = -2.68 eV/atom
# total DFT energy (no corrections) = -8.8311 eV per atom
# size of the total moment = 3.76 μB per cell
data_YbPuO3
_cell_length_a 4.3310
_cell_length_b 4.3310
_cell_length_c 4.3310
_cell_angle_alpha 90.00
_cell_angle_beta 90.00
_cell_angle_gamma 90.00
_symmetry_space_group_name_H-M 'P 1'
_symmetry_Int_Tables_number 1
loop_
_symmetry_equiv_pos_as_xyz
'x,y,z'
loop_
_atom_site_label
_atom_site_fract_x
_atom_site_fract_y
_atom_site_fract_z
Yb1 0.0000 0.0000 0.0000
Pu1 0.5000 0.5000 0.5000
O1 0.0000 0.5000 0.5000
O2 0.5000 0.0000 0.5000
O3 0.5000 0.5000 0.0000



# Pu2ZnO11 PBE relaxed
# raw formation energy = -1.47 eV/atom
# total DFT energy (no corrections) = -7.5034 eV per atom
# size of the total moment = 4.03 μB per cell
data_Pu2ZnO11
_cell_length_a 7.6668
_cell_length_b 7.9637
_cell_length_c 8.4595
_cell_angle_alpha 68.09
_cell_angle_beta 68.04
_cell_angle_gamma 82.09
_symmetry_space_group_name_H-M 'P 1'
_symmetry_Int_Tables_number 1
loop_
_symmetry_equiv_pos_as_xyz
'x,y,z'
loop_
_atom_site_label
_atom_site_fract_x
_atom_site_fract_y
_atom_site_fract_z
Pu1 0.0000 0.0000 0.0000
Pu2 0.0717 0.8709 0.4791
Pu3 0.4545 0.4713 0.8951
Pu4 0.5984 0.3957 0.4151
Zn1 0.5862 0.8845 0.4442
Zn2 0.9419 0.4929 0.9267
O1 0.0084 0.2520 0.8967
O2 0.0459 0.7113 0.7164
O3 0.1005 0.0067 0.2363
O4 0.1922 0.4650 0.9809
O5 0.2087 0.5944 0.4183
O6 0.2460 0.9888 0.8682
O7 0.2532 0.6129 0.2424
O8 0.3221 0.9177 0.4346
O9 0.4133 0.5180 0.1863
O10 0.4541 0.7023 0.7308
O11 0.4611 0.3655 0.6603
O12 0.4635 0.2363 0.0302
O13 0.5512 0.1570 0.4568
O14 0.6365 0.6348 0.3784
O15 0.7125 0.4944 0.8365
O16 0.7583 0.0076 0.1642
O17 0.7632 0.4231 0.1772
O18 0.8210 0.8315 0.5181
O19 0.8556 0.2036 0.6553
O20 0.8841 0.2567 0.4766
O21 0.9426 0.0408 0.7121
O22 0.9764 0.7563 0.0722